The following is a DFT calculation (PBE) of Pu2BeGe6Pt after structural relaxation. Values from VASP.

The structure in Quantum ESPRESSO input format:
```
&SYSTEM
  ibrav = 0, nat = 20, ntyp = 4
/
ATOMIC_SPECIES
Pu 244.00 Pu.upf
Be 9.01 Be.upf
Ge 72.64 Ge.upf
Pt 195.08 Pt.upf
ATOMIC_POSITIONS angstrom
Pu 2.777 7.445 1.681
Pu 0.000 1.016 6.115
Pu 2.777 7.445 7.187
Pu 0.000 1.016 2.753
Be 2.777 0.877 4.434
Be 0.000 7.584 0.000
Ge 2.777 2.184 2.296
Ge 2.777 2.184 6.573
Ge 0.000 6.277 2.139
Ge 0.000 6.277 6.730
Ge 1.459 7.371 4.434
Ge 4.096 7.371 4.434
Ge 1.460 3.186 4.434
Ge 4.095 3.186 4.434
Ge 4.237 5.275 0.000
Ge 1.317 5.275 0.000
Ge 1.318 1.091 0.000
Ge 4.236 1.091 0.000
Pt 0.000 5.183 4.434
Pt 2.777 3.279 0.000
CELL_PARAMETERS angstrom
5.554 0.000 0.000
0.000 8.461 0.000
0.000 0.000 8.868
```

Results
symmetry = No. 59
N(E_F) = 34.36 states/eV per cell
calculated formation energy = -3.13 kcal/mol of atoms